Record 1
Computed, not measured: a relaxed structure of MgAlN2 at the PBE-GGA level of DFT.

Unit cell a=5.687 b=5.687 c=5.687 alpha=132.66 beta=132.66 gamma=69.19
Sites, in units of the cell vectors:
Mg 0.000 0.000 0.000
Mg 0.750 0.250 0.500
Al 0.250 0.750 0.500
Al 0.500 0.500 0.000
N 0.166 0.625 0.041
N 0.375 0.416 0.541
N 0.584 0.125 0.959
N 0.875 0.834 0.459

## Properties
For the formation energy without anion corrections, the calculation gives -0.599 eV per atom. The energy relative to the lowest polymorph listed for this composition is 0.00 eV per formula unit. Its magnetic moment is 2.0 μB/cell.

Record 2
Computed, not measured: a relaxed structure of MgAlN at the PBE-GGA level of DFT.

Unit cell a=7.589 b=4.480 c=4.480 alpha=90.00 beta=90.00 gamma=90.00
Sites, in units of the cell vectors:
Mg 0.126 0.003 0.250
Mg 0.126 0.497 0.750
Mg 0.874 0.503 0.250
Mg 0.874 0.997 0.750
Al 0.400 0.514 0.250
Al 0.400 0.986 0.750
Al 0.600 0.014 0.250
Al 0.600 0.486 0.750
N 0.160 0.501 0.250
N 0.160 0.999 0.750
N 0.840 0.001 0.250
N 0.840 0.499 0.750

## Properties
For the formation energy without anion corrections, the calculation gives -0.623 eV per atom. The energy relative to the lowest polymorph listed for this composition is 0.00 eV per formula unit. Its magnetic moment is 0.0 μB/cell.

Record 3
Computed, not measured: a relaxed structure of Mg2Al2N at the PBE-GGA level of DFT.

Unit cell a=4.345 b=4.345 c=4.021 alpha=90.00 beta=90.00 gamma=90.00
Sites, in units of the cell vectors:
Mg 0.000 0.500 0.000
Mg 0.500 0.000 0.000
Al 0.000 0.000 0.500
Al 0.500 0.500 0.500
N 0.000 0.000 0.000

## Properties
For the formation energy without anion corrections, the calculation gives -0.218 eV per atom. Its magnetic moment is 0.0 μB/cell.

Record 4
Computed, not measured: a relaxed structure of Mg3AlN at the PBE-GGA level of DFT.

Unit cell a=5.149 b=5.149 c=5.149 alpha=90.00 beta=90.00 gamma=90.00
Sites, in units of the cell vectors:
Mg 0.000 0.000 0.500
Mg 0.000 0.500 0.000
Mg 0.500 0.000 0.000
Al 0.000 0.000 0.000
N 0.500 0.500 0.500

## Properties
For the formation energy without anion corrections, the calculation gives 1.208 eV per atom. The energy relative to the lowest polymorph listed for this composition is 7.35 eV per formula unit. Its magnetic moment is 2.0 μB/cell.

Question: Which formula does entry 3 have?
Answer: Mg2Al2N